This record from Alexandria via LeMat-Bulk describes CuRh3O after structural relaxation. The functional is PBE.

**Symmetry**: No. 221
**Final energy**: -22.19 eV for the cell shown
**Density of states at the Fermi level**: 2.420 states/eV/atom

a = 4.5312 Å, b = 4.5312 Å, c = 4.5312 Å
α = 90.00°, β = 90.00°, γ = 90.00°
Last column: nearest neighbours and their distance in Å.
Fractional positions:
Cu 0.0000 0.0000 0.0000  6 Rh 2.27
Rh 0.0000 0.0000 0.5000  2 Cu 2.27
Rh 0.0000 0.5000 0.0000  2 Cu 2.27
Rh 0.5000 0.0000 0.0000  2 Cu 2.27
O 0.5000 0.5000 0.5000  12 Rh 3.20